This record from the Alexandria database describes a relaxed structure of KC3F. The functional is PBE.

abc: 5.5966 5.5966 5.5966
angles: 90.00 90.00 90.00
Space group Pm-3m (No. 221)
Inequivalent atoms, fractional coordinates:
K (0.0000, 0.0000, 0.0000) (multiplicity 1)
C (0.0000, 0.0000, 0.5000) (multiplicity 3)
F (0.5000, 0.5000, 0.5000) (multiplicity 1)

relative energy among the computed polymorphs	770	meV per atom
uncorrected formation energy	3.962	eV/atom


This record from the Alexandria database describes a relaxed structure of KCF6. The functional is PBE.

abc: 5.1302 5.1302 13.9618
angles: 90.00 90.00 120.00
Space group R-3m (No. 166, hexagonal axes)
Inequivalent atoms, fractional coordinates:
K (0.0000, 0.0000, 0.0000) (multiplicity 3)
C (0.0000, 0.0000, 0.5000) (multiplicity 3)
F (0.0480, 0.5240, 0.1024) (multiplicity 18)

uncorrected formation energy	-1.305	eV/atom


This record from the Alexandria database describes a relaxed structure of KCF2. The functional is PBE.

abc: 3.7981 3.7981 17.6422
angles: 90.00 90.00 120.00
Space group R-3m (No. 166, hexagonal axes)
Inequivalent atoms, fractional coordinates:
K (0.0000, 0.0000, 0.0000) (multiplicity 3)
C (0.0000, 0.0000, 0.5000) (multiplicity 3)
F (0.0000, 0.0000, 0.1328) (multiplicity 6)

relative energy among the computed polymorphs	530	meV per atom
uncorrected formation energy	0.217	eV/atom


This record from the Alexandria database describes a relaxed structure of KC3F. The functional is PBE.

abc: 4.1793 4.1793 4.1793
angles: 90.00 90.00 90.00
Space group Pm-3m (No. 221)
Inequivalent atoms, fractional coordinates:
K (0.0000, 0.0000, 0.0000) (multiplicity 1)
C (0.0000, 0.5000, 0.5000) (multiplicity 3)
F (0.5000, 0.5000, 0.5000) (multiplicity 1)

relative energy among the computed polymorphs	0	meV per atom
uncorrected formation energy	3.191	eV/atom


This record from the Alexandria database describes a relaxed structure of KCF2. The functional is PBE.

abc: 4.8434 4.8434 12.0505
angles: 90.00 90.00 90.00
Space group I-42d (No. 122)
Inequivalent atoms, fractional coordinates:
K (0.0000, 0.0000, 0.0000) (multiplicity 4)
C (0.0000, 0.0000, 0.5000) (multiplicity 4)
F (0.1319, 0.2500, 0.6250) (multiplicity 8)

relative energy among the computed polymorphs	123	meV per atom
uncorrected formation energy	-0.190	eV/atom


This record from the Alexandria database describes a relaxed structure of KCF4. The functional is PBE.

abc: 4.5171 5.9517 7.7833
angles: 90.00 101.28 90.00
Space group P2_1 (No. 4)
Inequivalent atoms, fractional coordinates:
K (0.1971, 0.0000, 0.3610) (multiplicity 2)
C (0.3966, 0.9526, 0.8325) (multiplicity 2)
F (0.2881, 0.6952, 0.5980) (multiplicity 2)
F (0.2930, 0.1423, 0.7432) (multiplicity 2)
F (0.3004, 0.4446, 0.1513) (multiplicity 2)
F (0.3317, 0.9663, 0.9962) (multiplicity 2)

uncorrected formation energy	-1.641	eV/atom


Which value of uncorrected formation energy does entry 1 give? 3.962 eV/atom


Among the records above, which one has the highest uncorrected formation energy? number 1


Number 1 is which compound? KC3F